Model one:
Li2BeTe after structural relaxation, computed with PBE.

Unit cell a=6.592 b=6.592 c=6.592 alpha=34.55 beta=34.55 gamma=34.55
Element x y z (fractional)
Te (0.464, 0.464, 0.464)
Li (0.027, 0.027, 0.027)
Li (0.269, 0.269, 0.269)
Be (0.740, 0.740, 0.740)

As for the crystal system: trigonal. The value obtained for the total magnetization is 0.00 μB/f.u.


Model two:
Li2BeTe after structural relaxation, computed with PBE.

Unit cell a=9.030 b=9.030 c=9.030 alpha=20.23 beta=20.23 gamma=20.23
Element x y z (fractional)
Te (0.250, 0.250, 0.250)
Li (0.495, 0.495, 0.495)
Li (0.005, 0.005, 0.005)
Be (0.750, 0.750, 0.750)

As for the crystal system: trigonal. The value obtained for the total magnetization is 0.00 μB/f.u.


Model three:
Li2BeTe after structural relaxation, computed with PBE.

Unit cell a=3.895 b=3.895 c=9.745 alpha=78.47 beta=78.47 gamma=90.00
Element x y z (fractional)
Be (0.500, 0.500, 0.000)
Be (0.250, 0.750, 0.500)
Li (0.875, 0.863, 0.750)
Li (0.375, 0.387, 0.750)
Li (0.613, 0.125, 0.250)
Li (0.137, 0.625, 0.250)
Te (0.000, 0.000, 0.000)
Te (0.750, 0.250, 0.500)

As for the crystal system: tetragonal. The value obtained for the total magnetization is 0.00 μB/f.u.


Model four:
Li2BeTe after structural relaxation, computed with PBE.

Unit cell a=4.068 b=4.000 c=4.000 alpha=90.00 beta=90.00 gamma=90.00
Element x y z (fractional)
Li (0.000, 0.000, 0.000)
Li (0.000, 0.500, 0.500)
Be (0.500, 0.000, 0.500)
Te (0.500, 0.500, 0.000)

As for the crystal system: tetragonal. The value obtained for the total magnetization is 0.00 μB/f.u.


model four is preferred energetically. Next in line: 97 meV/atom higher.


Model one:
Li2BeTe after structural relaxation, computed with PBE.

Unit cell a=3.584 b=3.584 c=5.532 alpha=90.00 beta=90.00 gamma=90.03
Element x y z (fractional)
Be (0.500, 0.500, 0.745)
Te (0.000, 0.000, 0.514)
Li (0.000, 0.000, 0.992)
Li (0.500, 0.500, 0.250)

As for the crystal system: tetragonal. The value obtained for the total magnetization is 0.00 μB/f.u.


Model two:
Li2BeTe after structural relaxation, computed with PBE.

Unit cell a=4.721 b=4.721 c=4.721 alpha=60.00 beta=60.00 gamma=60.00
Element x y z (fractional)
Te (0.750, 0.750, 0.750)
Li (0.000, 0.000, 0.000)
Li (0.250, 0.250, 0.250)
Be (0.500, 0.500, 0.500)

As for the crystal system: cubic. The value obtained for the total magnetization is 0.00 μB/f.u.


model one is preferred energetically. Next in line: 159 meV/atom higher.


Model one:
Li3BeTe after structural relaxation, computed with PBE.

Unit cell a=5.168 b=5.168 c=5.168 alpha=90.00 beta=90.00 gamma=90.00
Element x y z (fractional)
Li (0.500, 0.000, 0.000)
Li (0.000, 0.000, 0.500)
Li (0.000, 0.500, 0.000)
Be (0.500, 0.500, 0.500)
Te (0.000, 0.000, 0.000)

As for the crystal system: cubic. The value obtained for the total magnetization is 0.00 μB/f.u.


Model two:
Li3BeTe after structural relaxation, computed with PBE.

Unit cell a=4.602 b=4.602 c=4.602 alpha=90.00 beta=90.00 gamma=90.00
Site moments in Bohr magnetons follow the coordinates.
Element x y z (fractional)
Li (0.000, 0.500, 0.000)  0.02
Li (0.500, 0.000, 0.000)  0.01
Li (0.000, 0.000, 0.500)  0.04
Te (0.500, 0.500, 0.500)  -0.04
Be (0.000, 0.000, 0.000)  0.22

As for the crystal system: cubic. The value obtained for the total magnetization is 0.99 μB/f.u.


model one is preferred energetically. Next in line: 7 meV/atom higher.


Model one:
LiBe3Te after structural relaxation, computed with PBE.

Unit cell a=4.166 b=4.166 c=4.166 alpha=90.00 beta=90.00 gamma=90.00
Element x y z (fractional)
Te (0.500, 0.500, 0.500)
Be (0.000, 0.000, 0.500)
Be (0.000, 0.500, 0.000)
Be (0.500, 0.000, 0.000)
Li (0.000, 0.000, 0.000)

As for the crystal system: cubic. The value obtained for the total magnetization is 0.00 μB/f.u.


Model two:
LiBe3Te after structural relaxation, computed with PBE.

Unit cell a=4.827 b=4.827 c=4.827 alpha=90.00 beta=90.00 gamma=90.00
Element x y z (fractional)
Be (0.000, 0.000, 0.500)
Be (0.500, 0.000, 0.000)
Be (0.000, 0.500, 0.000)
Li (0.500, 0.500, 0.500)
Te (0.000, 0.000, 0.000)

As for the crystal system: cubic. The value obtained for the total magnetization is 0.00 μB/f.u.


model one is preferred energetically. Next in line: 188 meV/atom higher.


Model one:
LiBeTe3 after structural relaxation, computed with PBE.

Unit cell a=5.044 b=5.044 c=5.044 alpha=90.00 beta=90.00 gamma=90.00
Element x y z (fractional)
Te (0.000, 0.000, 0.500)
Te (0.000, 0.500, 0.000)
Te (0.500, 0.000, 0.000)
Be (0.500, 0.500, 0.500)
Li (0.000, 0.000, 0.000)

As for the crystal system: cubic. The value obtained for the total magnetization is 0.00 μB/f.u.


Model two:
LiBeTe3 after structural relaxation, computed with PBE.

Unit cell a=5.097 b=5.097 c=5.097 alpha=90.00 beta=90.00 gamma=90.00
Element x y z (fractional)
Te (0.500, 0.000, 0.000)
Te (0.000, 0.000, 0.500)
Te (0.000, 0.500, 0.000)
Be (0.000, 0.000, 0.000)
Li (0.500, 0.500, 0.500)

As for the crystal system: cubic. The value obtained for the total magnetization is 0.00 μB/f.u.


model two is preferred energetically. Next in line: 597 meV/atom higher.


Model one:
LiBeZnTe after structural relaxation, computed with PBE.

Unit cell a=3.867 b=3.867 c=18.070 alpha=90.00 beta=90.00 gamma=120.00
Element x y z (fractional)
Li (0.667, 0.333, 0.124)
Li (0.333, 0.667, 0.457)
Li (0.000, 0.000, 0.790)
Be (0.000, 0.000, 0.949)
Be (0.333, 0.667, 0.615)
Be (0.667, 0.333, 0.282)
Te (0.000, 0.000, 0.348)
Te (0.667, 0.333, 0.681)
Te (0.333, 0.667, 0.014)
Zn (0.333, 0.667, 0.214)
Zn (0.000, 0.000, 0.547)
Zn (0.667, 0.333, 0.880)

As for the crystal system: trigonal. The value obtained for the total magnetization is 0.00 μB/f.u.


Model two:
LiBeZnTe after structural relaxation, computed with PBE.

Unit cell a=3.886 b=3.886 c=5.904 alpha=90.00 beta=90.00 gamma=120.00
Element x y z (fractional)
Zn (0.667, 0.333, 0.479)
Li (0.333, 0.667, 0.210)
Be (0.333, 0.667, 0.696)
Te (0.000, 0.000, 0.888)

As for the crystal system: trigonal. The value obtained for the total magnetization is 0.00 μB/f.u.


Model three:
LiBeZnTe after structural relaxation, computed with PBE.

Unit cell a=3.945 b=4.268 c=9.557 alpha=90.00 beta=90.00 gamma=90.00
Element x y z (fractional)
Li (0.500, 0.500, 0.623)
Li (0.500, 0.000, 0.123)
Te (0.000, 0.500, 0.172)
Te (0.000, 0.000, 0.672)
Zn (0.500, 0.000, 0.427)
Zn (0.500, 0.500, 0.927)
Be (0.500, 0.500, 0.326)
Be (0.500, 0.000, 0.826)

As for the crystal system: orthorhombic. The value obtained for the total magnetization is 0.00 μB/f.u.


model three is preferred energetically. Next in line: 12 meV/atom higher.


Model one:
LiBeZnTe after structural relaxation, computed with PBE.

Unit cell a=6.380 b=3.042 c=8.347 alpha=90.00 beta=108.46 gamma=90.00
Element x y z (fractional)
Te (0.029, 0.500, 0.524)
Te (0.029, 0.000, 0.024)
Be (0.420, 0.500, 0.662)
Be (0.420, 0.000, 0.162)
Zn (0.503, 0.500, 0.401)
Zn (0.503, 0.000, 0.901)
Li (0.775, 0.000, 0.687)
Li (0.775, 0.500, 0.187)

As for the crystal system: monoclinic. The value obtained for the total magnetization is 0.00 μB/f.u.


Model two:
LiBeZnTe after structural relaxation, computed with PBE.

Unit cell a=3.722 b=4.009 c=5.896 alpha=72.72 beta=86.47 gamma=71.26
Element x y z (fractional)
Zn (0.609, 0.174, 0.500)
Li (0.167, 0.920, 0.203)
Be (0.019, 0.542, 0.647)
Te (0.524, 0.460, 0.922)

As for the crystal system: triclinic. The value obtained for the total magnetization is 0.00 μB/f.u.


model one is preferred energetically. Next in line: 7 meV/atom higher.


Model one:
Li2BeTl after structural relaxation, computed with PBE.

Unit cell a=4.419 b=4.402 c=4.419 alpha=119.89 beta=120.04 gamma=90.16
Element x y z (fractional)
Be (0.250, 0.750, 0.500)
Tl (0.500, 0.500, 0.000)
Li (0.000, 0.000, 0.000)
Li (0.750, 0.250, 0.500)

As for the crystal system: monoclinic. The value obtained for the total magnetization is 0.00 μB/f.u.


Model two:
Li2BeTl after structural relaxation, computed with PBE.

Unit cell a=7.634 b=7.634 c=5.923 alpha=49.88 beta=49.88 gamma=90.00
Element x y z (fractional)
Li (0.173, 0.625, 0.250)
Li (0.375, 0.423, 0.750)
Li (0.875, 0.827, 0.750)
Li (0.577, 0.125, 0.250)
Be (0.250, 0.750, 0.500)
Be (0.500, 0.500, 0.000)
Tl (0.750, 0.250, 0.500)
Tl (0.000, 0.000, 0.000)

As for the crystal system: tetragonal. The value obtained for the total magnetization is 0.00 μB/f.u.


Model three:
Li2BeTl after structural relaxation, computed with PBE.

Unit cell a=5.046 b=5.046 c=5.046 alpha=134.45 beta=134.45 gamma=66.39
Element x y z (fractional)
Li (0.000, 0.000, 0.000)
Li (0.500, 0.500, 0.000)
Be (0.750, 0.250, 0.500)
Tl (0.250, 0.750, 0.500)

As for the crystal system: tetragonal. The value obtained for the total magnetization is 0.00 μB/f.u.


model one is preferred energetically. Next in line: 118 meV/atom higher.


Model one:
Li2BeTl after structural relaxation, computed with PBE.

Unit cell a=4.419 b=3.063 c=4.944 alpha=89.77 beta=90.00 gamma=90.00
Element x y z (fractional)
Be (0.500, 0.625, 0.772)
Li (0.000, 0.122, 0.960)
Li (0.500, 0.128, 0.284)
Tl (0.000, 0.625, 0.485)

As for the crystal system: monoclinic. The value obtained for the total magnetization is 0.00 μB/f.u.


Model two:
Li2BeTl after structural relaxation, computed with PBE.

Unit cell a=3.310 b=3.310 c=6.161 alpha=90.00 beta=90.00 gamma=90.00
Element x y z (fractional)
Tl (0.000, 0.000, 0.516)
Li (0.000, 0.000, 0.977)
Li (0.500, 0.500, 0.237)
Be (0.500, 0.500, 0.771)

As for the crystal system: tetragonal. The value obtained for the total magnetization is 0.00 μB/f.u.


Model three:
Li2BeTl after structural relaxation, computed with PBE.

Unit cell a=9.330 b=9.330 c=9.330 alpha=19.38 beta=19.38 gamma=19.38
Element x y z (fractional)
Li (0.249, 0.249, 0.249)
Li (0.009, 0.009, 0.009)
Be (0.748, 0.748, 0.748)
Tl (0.494, 0.494, 0.494)

As for the crystal system: trigonal. The value obtained for the total magnetization is 0.00 μB/f.u.


model one is preferred energetically. Next in line: 41 meV/atom higher.


Model one:
Li2BeTl after structural relaxation, computed with PBE.

Unit cell a=3.175 b=3.174 c=6.393 alpha=90.00 beta=90.00 gamma=90.00
Element x y z (fractional)
Li (0.000, 0.000, 0.957)
Li (0.000, 0.000, 0.543)
Tl (0.500, 0.500, 0.250)
Be (0.500, 0.500, 0.750)

As for the crystal system: tetragonal. The value obtained for the total magnetization is 0.00 μB/f.u.


Model two:
Li2BeTl after structural relaxation, computed with PBE.

Unit cell a=3.853 b=3.911 c=4.279 alpha=90.00 beta=90.00 gamma=90.00
Element x y z (fractional)
Tl (0.500, 0.000, 0.500)
Li (0.000, 0.000, 0.000)
Li (0.500, 0.500, 0.000)
Be (0.000, 0.500, 0.500)

As for the crystal system: orthorhombic. The value obtained for the total magnetization is 0.00 μB/f.u.


model two is preferred energetically. Next in line: 14 meV/atom higher.


Model one:
Li2BeTl after structural relaxation, computed with PBE.

Unit cell a=4.466 b=4.466 c=4.466 alpha=60.00 beta=60.00 gamma=60.00
Element x y z (fractional)
Li (0.250, 0.250, 0.250)
Li (0.750, 0.750, 0.750)
Be (0.000, 0.000, 0.000)
Tl (0.500, 0.500, 0.500)

As for the crystal system: cubic. The value obtained for the total magnetization is 0.00 μB/f.u.


Model two:
Li2BeTl after structural relaxation, computed with PBE.

Unit cell a=8.748 b=8.748 c=8.748 alpha=20.97 beta=20.97 gamma=20.97
Element x y z (fractional)
Li (0.009, 0.009, 0.009)
Li (0.491, 0.491, 0.491)
Tl (0.250, 0.250, 0.250)
Be (0.750, 0.750, 0.750)

As for the crystal system: trigonal. The value obtained for the total magnetization is 0.00 μB/f.u.


model one is preferred energetically. Next in line: 223 meV/atom higher.


Model one:
LiBeTl2 after structural relaxation, computed with PBE.

Unit cell a=4.492 b=4.492 c=6.084 alpha=77.98 beta=77.98 gamma=44.61
Element x y z (fractional)
Li (0.250, 0.250, 0.250)
Be (0.750, 0.750, 0.750)
Tl (0.489, 0.489, 0.523)
Tl (0.011, 0.011, 0.977)

As for the crystal system: monoclinic. The value obtained for the total magnetization is 0.00 μB/f.u.


Model two:
LiBeTl2 after structural relaxation, computed with PBE.

Unit cell a=8.509 b=8.509 c=6.571 alpha=49.65 beta=49.65 gamma=90.00
Element x y z (fractional)
Li (0.250, 0.750, 0.500)
Li (0.500, 0.500, 0.000)
Tl (0.004, 0.625, 0.250)
Tl (0.875, 0.996, 0.750)
Tl (0.746, 0.125, 0.250)
Tl (0.375, 0.254, 0.750)
Be (0.750, 0.250, 0.500)
Be (0.000, 0.000, 0.000)

As for the crystal system: tetragonal. The value obtained for the total magnetization is 0.00 μB/f.u.


model one is preferred energetically. Next in line: 49 meV/atom higher.